This record from Alexandria describes NdHoCd2 after structural relaxation. The functional is PBE.

Its crystal system is tetragonal. The calculation puts the calculated formation energy at -1.258 eV/f.u.

The space group is P4/mmm (No. 123) and the conventional cell measures 3.7490, 3.7490 and 7.7651 Å, with angles of 90.00, 90.00 and 90.00 degrees. The distinct sites, in fractional coordinates, are Nd at (0.0000, 0.0000, 0.0000), Ho at (0.0000, 0.0000, 0.5000) and Cd at (0.5000, 0.5000, 0.2676).



This record from Alexandria describes Li5Zn4Cu2 after structural relaxation. The functional is PBE.

Its crystal system is monoclinic. The calculation puts the calculated formation energy at -1.394 eV/f.u.

The space group is P2/m (No. 10) and the conventional cell measures 7.1204, 2.6184 and 8.9267 Å, with angles of 90.00, 92.86 and 90.00 degrees. The distinct sites, in fractional coordinates, are Li at (0.0000, 0.0000, 0.0000), Li at (0.0517, 0.0000, 0.3357), Li at (0.3349, 0.0000, 0.8531), Zn at (0.2666, 0.5000, 0.5732), Zn at (0.3055, 0.5000, 0.1312) and Cu at (0.4241, 0.0000, 0.3620).



This record from Alexandria describes IrOs2W after structural relaxation. The functional is PBE.

Its crystal system is cubic. The calculation puts the calculated formation energy at 1.901 eV/f.u.

The space group is Fm-3m (No. 225) and the conventional cell measures 6.2335, 6.2335 and 6.2335 Å, with angles of 90.00, 90.00 and 90.00 degrees. The distinct sites, in fractional coordinates, are Ir at (0.0000, 0.0000, 0.0000), Os at (0.2500, 0.2500, 0.2500) and W at (0.0000, 0.0000, 0.5000).



This record from Alexandria describes CrNiPdPt after structural relaxation. The functional is PBE.

Its crystal system is cubic. The calculation puts the calculated formation energy at -0.144 eV/f.u.

The space group is F-43m (No. 216) and the conventional cell measures 6.0748, 6.0748 and 6.0748 Å, with angles of 90.00, 90.00 and 90.00 degrees. The distinct sites, in fractional coordinates, are Cr at (0.0000, 0.0000, 0.0000), Ni at (0.0000, 0.0000, 0.5000), Pd at (0.2500, 0.2500, 0.7500) and Pt at (0.2500, 0.2500, 0.2500).



This record from Alexandria describes CsK2MgGa after structural relaxation. The functional is PBE.

Its crystal system is tetragonal. The calculation puts the calculated formation energy at 0.516 eV/f.u.

The space group is P4/mmm (No. 123) and the conventional cell measures 6.8637, 6.8637 and 5.3872 Å, with angles of 90.00, 90.00 and 90.00 degrees. The distinct sites, in fractional coordinates, are Cs at (0.0000, 0.0000, 0.0000), K at (0.0000, 0.5000, 0.5000), Mg at (0.5000, 0.5000, 0.0000) and Ga at (0.5000, 0.5000, 0.5000).



This record from Alexandria describes Y3MnGa12 after structural relaxation. The functional is PBE.

Its crystal system is tetragonal. The calculation puts the calculated formation energy at -6.320 eV/f.u.

The space group is P4/mmm (No. 123) and the conventional cell measures 4.2329, 4.2329 and 16.6998 Å, with angles of 90.00, 90.00 and 90.00 degrees. The distinct sites, in fractional coordinates, are Y at (0.0000, 0.0000, 0.0000), Y at (0.0000, 0.0000, 0.2618), Mn at (0.0000, 0.0000, 0.5000), Ga at (0.0000, 0.5000, 0.1302), Ga at (0.0000, 0.5000, 0.3918), Ga at (0.5000, 0.5000, 0.0000), Ga at (0.5000, 0.5000, 0.2527) and Ga at (0.5000, 0.5000, 0.5000).



This record from Alexandria describes HoGeO after structural relaxation. The functional is PBE.

Its crystal system is monoclinic. Its uncorrected formation energy is -5.693 eV/f.u.

The space group is Cc (No. 9) and the conventional cell measures 8.2484, 9.7801 and 6.8088 Å, with angles of 90.00, 118.90 and 90.00 degrees. The distinct sites, in fractional coordinates, are Ho at (0.0000, 0.0541, 0.0000), Ho at (0.1544, 0.2709, 0.5955), Ge at (0.0878, 0.4241, 0.1885), Ge at (0.4110, 0.0823, 0.2816), O at (0.0802, 0.1120, 0.7458) and O at (0.4406, 0.3547, 0.7809).



This record from Alexandria describes LiAcThPt after structural relaxation. The functional is PBE.

Its crystal system is cubic. The calculation puts the calculated formation energy at -1.374 eV/f.u.

The space group is F-43m (No. 216) and the conventional cell measures 7.4749, 7.4749 and 7.4749 Å, with angles of 90.00, 90.00 and 90.00 degrees. The distinct sites, in fractional coordinates, are Li at (0.0000, 0.0000, 0.0000), Ac at (0.2500, 0.2500, 0.7500), Th at (0.2500, 0.2500, 0.2500) and Pt at (0.0000, 0.0000, 0.5000).



This record from Alexandria describes SmHoCo after structural relaxation. The functional is PBE.

Its crystal system is monoclinic. The calculation puts the calculated formation energy at -0.213 eV/f.u.

The space group is C2/m (No. 12) and the conventional cell measures 13.2226, 3.3859 and 6.8042 Å, with angles of 90.00, 105.09 and 90.00 degrees. The distinct sites, in fractional coordinates, are Sm at (0.1282, 0.0000, 0.0654), Ho at (0.1265, 0.0000, 0.5625) and Co at (0.0012, 0.5000, 0.7397).



This record from Alexandria describes ErTm2ThS4 after structural relaxation. The functional is PBE.

Its crystal system is monoclinic. Its uncorrected formation energy is -15.145 eV/f.u.

The space group is P2/m (No. 10) and the conventional cell measures 6.7677, 3.8647 and 6.7981 Å, with angles of 90.00, 109.03 and 90.00 degrees. The distinct sites, in fractional coordinates, are Er at (0.0000, 0.0000, 0.0000), Tm at (0.0000, 0.5000, 0.5000), Tm at (0.5000, 0.0000, 0.5000), Th at (0.5000, 0.5000, 0.0000), S at (0.2371, 0.0000, 0.7355) and S at (0.2449, 0.5000, 0.2584).



This record from Alexandria describes SrTlOF2 after structural relaxation. The functional is PBE.

Its crystal system is tetragonal. Its uncorrected formation energy is -10.696 eV/f.u.

The space group is P4/mmm (No. 123) and the conventional cell measures 4.7157, 4.7157 and 4.8554 Å, with angles of 90.00, 90.00 and 90.00 degrees. The distinct sites, in fractional coordinates, are Sr at (0.0000, 0.0000, 0.0000), Tl at (0.5000, 0.5000, 0.5000), O at (0.0000, 0.0000, 0.5000) and F at (0.0000, 0.5000, 0.0000).



This record from Alexandria describes ZnCdTeO after structural relaxation. The functional is PBE.

Its crystal system is monoclinic. Its uncorrected formation energy is -2.295 eV/f.u.

The space group is C2 (No. 5) and the conventional cell measures 3.9803, 13.1065 and 3.2124 Å, with angles of 90.00, 101.07 and 90.00 degrees. The distinct sites, in fractional coordinates, are Zn at (0.0000, 0.0000, 0.0000), Cd at (0.0000, 0.6844, 0.5000), Te at (0.0000, 0.3563, 0.0000) and O at (0.0000, 0.0876, 0.5000).



For the records above, the corresponding E_tot values read -3.108, -2.205, -10.593, -6.696, -1.431, -4.450, -6.615, -5.214, -5.539, -6.573, -4.689, -3.146 eV/atom.
For the records above, the corresponding D(E_F) values read 4.23, 4.89, 21.69, 19.95, 3.00, 8.09, 1.11, 21.54, 10.53, 3.30, 3.23, 2.14 states/eV per cell.